The following is a DFT calculation (GGA-PBEsol) of Pr7FeI12 after structural relaxation.

Output
Energy relative to the elements, uncorrected   -1.194 eV per atom

Unit cell a=9.7607 b=9.7607 c=9.7607 alpha=107.41 beta=107.41 gamma=107.41
Sites, in units of the cell vectors:
Pr: 0.0000 0.0000 0.0000
Pr: 0.1945 0.4680 0.3980
Pr: 0.3980 0.1945 0.4680
Pr: 0.4680 0.3980 0.1945
Pr: 0.5320 0.6020 0.8056
Pr: 0.6020 0.8056 0.5320
Pr: 0.8056 0.5320 0.6020
Fe: 0.5000 0.5000 0.5000
I: 0.0234 0.1064 0.3469
I: 0.1064 0.3469 0.0234
I: 0.1832 0.5770 0.7333
I: 0.2667 0.8168 0.4230
I: 0.3469 0.0234 0.1064
I: 0.4230 0.2667 0.8168
I: 0.5770 0.7333 0.1832
I: 0.6531 0.9766 0.8936
I: 0.7333 0.1832 0.5770
I: 0.8168 0.4230 0.2667
I: 0.8936 0.6531 0.9766
I: 0.9766 0.8936 0.6531

---

The following is a DFT calculation (GGA-PBEsol) of YBe2Se after structural relaxation.

Output
Energy relative to the elements, uncorrected   -0.187 eV per atom

Unit cell a=3.7203 b=3.8006 c=9.2513 alpha=90.00 beta=90.00 gamma=90.00
Sites, in units of the cell vectors:
Y: 0.0000 0.0000 0.0000
Y: 0.5000 0.5000 0.5000
Be: 0.0000 0.0000 0.3849
Be: 0.0000 0.5000 0.7507
Be: 0.5000 0.0000 0.2507
Be: 0.5000 0.5000 0.8849
Se: 0.0000 0.5000 0.2434
Se: 0.5000 0.0000 0.7434

---

- Among the records above, which one has the lowest energy relative to the elements, uncorrected?
  Pr7FeI12

---

- Look up the energy relative to the elements, uncorrected of the first one.
  -1.194 eV per atom

---

- What is the formula in the first record?
  Pr7FeI12